Arrangement w

Cd2InP2 (PBE, relaxed); total magnetic moment = 0.00 μB per atom; space group = I4/mmm
1.0
4.9712 0.0000 0.0000
0.0000 4.9712 0.0000
2.4856 2.4856 4.5896
P In Cd
2 1 2
direct
0.3797 0.3797 0.2406
0.6203 0.6203 0.7594
0.0000 0.0000 0.0000
0.2500 0.7500 0.5000
0.7500 0.2500 0.5000

***

Arrangement x

Cd2InP2 (PBE, relaxed); total magnetic moment = 0.00 μB per atom; space group = P4/mbm
1.0
7.5598 0.0000 0.0000
0.0000 7.5598 0.0000
0.0000 0.0000 3.7970
P In Cd
4 2 4
direct
0.1837 0.3163 0.0000
0.8163 0.6837 0.0000
0.3163 0.8163 0.0000
0.6837 0.1837 0.0000
0.5000 0.5000 0.0000
0.0000 0.0000 0.0000
0.3652 0.1348 0.5000
0.6348 0.8652 0.5000
0.8652 0.3652 0.5000
0.1348 0.6348 0.5000

***

Arrangement y

Cd2InP2 (PBE, relaxed); total magnetic moment = 0.00 μB per atom; space group = I4/mmm
1.0
4.2933 0.0000 0.0000
0.0000 4.2933 0.0000
2.1467 2.1467 6.1895
P Cd In
2 2 1
direct
0.2500 0.7500 0.5000
0.7500 0.2500 0.5000
0.6131 0.6131 0.7738
0.3869 0.3869 0.2262
0.0000 0.0000 0.0000

***

Tell me which of them is the most stable. Sure, it is arrangement w.

***

Arrangement w

PaCd2In (PBE, relaxed); total magnetic moment = 0.23 μB per atom; space group = P4/mmm
1.0
-2.7369 3.8604 -0.4761
-3.5013 -2.6396 -1.2754
-1.2994 -0.3834 4.3610
Pa Cd In
1 2 1
direct
0.5000 0.0000 0.0000
0.0000 0.0000 0.5000
0.0000 0.5000 0.0000
0.5000 0.5000 0.5000

***

Arrangement x

PaCd2In (PBE, relaxed); total magnetic moment = 0.19 μB per atom; space group = R-3m
1.0
-1.1467 -2.2971 -1.8596
1.3616 -2.8628 -0.0055
-7.1123 -5.1534 8.0497
Cd Pa In
2 1 1
direct
0.9091 0.9091 0.2727
0.0909 0.0909 0.7273
0.0000 0.0000 0.0000
0.5000 0.5000 0.5000

***

Tell me which of them is the most stable. Sure, it is arrangement w.

***

Arrangement w

Pa2CdIn (PBE, relaxed); total magnetic moment = 0.18 μB per atom; space group = R-3m
1.0
-0.6778 -1.2202 2.8032
1.8644 -2.1839 1.2493
7.0427 7.6459 6.7800
In Pa Cd
1 2 1
direct
0.5000 0.5000 0.5000
0.9100 0.9100 0.2699
0.0900 0.0900 0.7301
0.0000 0.0000 0.0000

***

Arrangement x

Pa2CdIn (PBE, relaxed); total magnetic moment = 0.16 μB per atom; space group = P4/mmm
1.0
5.1299 0.0000 0.0000
0.0000 4.3247 0.0000
0.0000 0.0000 4.3247
Cd Pa In
1 2 1
direct
0.5000 0.5000 0.5000
0.0000 0.0000 0.5000
0.0000 0.5000 0.0000
0.5000 0.0000 0.0000

***

Tell me which of them is the most stable. Sure, it is arrangement x.

***

Arrangement w

CdInPb2 (PBE, relaxed); total magnetic moment = 0.00 μB per atom; space group = Imm2
1.0
6.4811 0.0455 0.0897
2.9647 5.7635 -0.0897
-4.0534 -3.9933 3.1047
Pb In Cd
2 1 1
direct
0.7365 0.2365 0.5000
0.0073 0.0073 0.0000
0.2643 0.7643 0.5000
0.4918 0.4918 0.0000

***

Arrangement x

CdInPb2 (PBE, relaxed); total magnetic moment = 0.00 μB per atom; space group = C2/m
1.0
6.3199 -0.0836 -0.2665
-2.9682 5.8458 0.0248
0.3834 0.9786 3.1185
Cd Pb In
1 2 1
direct
0.0000 0.5000 0.5000
0.5000 0.0000 0.5000
0.0000 0.0000 0.0000
0.5000 0.5000 0.0000

***

Tell me which of them is the most stable. Sure, it is arrangement w.